Hf8HgC2 PBE optimized geometry; VASP energy = -8.8659 eV per atom; SG = Immm; energy of formation = 0.077 eV per atom; volume = 18.62 Å³/atom; DOS(E_F) = 0.61 states/eV per atom; total moment = 0.00 μB per formula unit
1.0
4.8872 0.7889 0.5986
0.9982 7.7870 2.3709
0.9982 4.3802 6.8610
Hf C Hg
8 2 1
Cartesian
3.1462 6.7566 6.9851
3.7375 6.1995 2.8455
4.2412 3.3401 2.5343
3.1462 8.5464 4.6262
5.5538 8.1852 6.2106
2.6424 9.6160 7.2962
3.7375 4.4097 5.2043
1.3298 4.7709 3.6200
1.7750 3.0254 2.2955
5.1086 9.9307 7.5350
0.0000 0.0000 0.0000

---

YSc3Ge PBE optimized geometry; VASP energy = -6.0488 eV per atom; SG = Pm-3m; energy of formation = -0.034 eV per atom; volume = 27.77 Å³/atom; DOS(E_F) = 1.88 states/eV per atom; E above lowest polymorph = 0.00 eV per formula unit; total moment = 1.71 μB per formula unit
1.0
-4.8592 -1.6632 0.6612
1.7898 -4.5070 1.8163
-0.0079 1.9329 4.8041
Sc Ge Y
3 1 1
Cartesian
-2.4296 -0.8316 0.3306
-0.0040 0.9664 2.4021
0.8949 -2.2535 0.9081
0.0000 0.0000 0.0000
-1.5387 -2.1187 3.6408

---

YRuSe2 PBE optimized geometry; VASP energy = -6.4812 eV per atom; formation energy without anion corrections = -0.8039 eV per atom; SG = R-3m; volume = 19.93 Å³/atom; DOS(E_F) = 0.74 states/eV per atom; E above lowest polymorph = 0.00 eV per formula unit; total moment = 0.00 μB per formula unit
1.0
4.0916 -0.0016 0.0054
2.0477 3.5423 0.0054
2.0401 1.1766 5.5028
Y Ru Se
1 1 2
Cartesian
6.1345 3.5380 4.1352
2.0448 1.1793 1.3784
4.0899 2.3587 2.4958
6.1391 3.5406 0.2719

---

Nb6Ge2N PBE optimized geometry; VASP energy = -9.1411 eV per atom; formation energy without anion corrections = -0.4768 eV per atom; SG = P2_1/c; volume = 16.38 Å³/atom; DOS(E_F) = 0.56 states/eV per atom; total moment = 0.00 μB per formula unit
1.0
5.4825 0.0000 0.2172
0.0000 6.6093 0.0000
-0.4039 0.0000 8.1218
Ge Nb N
4 12 2
Cartesian
4.8766 2.5951 6.2472
0.2020 4.0142 2.0918
2.7414 5.8998 6.2613
2.3373 0.7095 2.0777
3.4068 1.1492 4.5734
1.9535 3.3490 6.0494
3.1252 3.2603 2.2896
0.6499 1.9796 3.7006
4.8967 6.5650 2.0972
1.8895 5.2842 0.4689
1.6719 5.4601 3.7656
0.1820 0.0444 6.2418
4.2112 4.4539 7.9351
0.8675 2.1554 0.4039
3.1892 1.3251 7.8701
4.4288 4.6298 4.6384
-0.2019 0.0000 4.0609
2.7413 3.3047 0.1086

---

MnCuNi2 PBE optimized geometry; VASP energy = -6.1158 eV per atom; SG = R3m; energy of formation = 0.091 eV per atom; volume = 11.11 Å³/atom; DOS(E_F) = 1.08 states/eV per atom; total moment = 1.34 μB per formula unit
1.0
-6.8117 3.2591 -3.6835
-7.8868 2.4116 -1.6039
-6.8047 4.6539 -1.6211
Ni Mn Cu
2 1 1
Cartesian
-0.0143 0.0069 -0.0046
-5.4015 2.5935 -1.7354
-16.0708 7.7163 -5.1631
-10.7682 5.1703 -3.4595

---

LaCu2Ir PBE optimized geometry; VASP energy = -5.6286 eV per atom; SG = I-42d; energy of formation = -0.133 eV per atom; volume = 20.91 Å³/atom; DOS(E_F) = 0.30 states/eV per atom; E above lowest polymorph = 0.57 eV per formula unit; total moment = 0.00 μB per formula unit
1.0
4.3003 0.0000 0.0000
0.0000 4.3003 0.0000
2.1502 2.1502 9.0472
Ir Cu La
2 4 2
Cartesian
0.0000 0.0000 0.0000
4.3003 2.1502 4.5236
4.6658 3.2252 2.2618
5.3754 1.7847 6.7854
3.9349 1.0751 2.2618
3.2252 2.5156 6.7854
2.1502 4.3003 4.5236
2.1502 2.1502 0.0000

---

Dy3TlNi PBE optimized geometry; VASP energy = -4.6175 eV per atom; SG = Cmmm; energy of formation = -0.227 eV per atom; volume = 27.70 Å³/atom; DOS(E_F) = 1.09 states/eV per atom; E above lowest polymorph = 0.40 eV per formula unit; total moment = 0.00 μB per formula unit
1.0
-0.9990 -2.0402 3.0687
-4.4848 -5.5560 -5.1539
5.1703 -6.5974 -2.7028
Dy Ni Tl
6 2 2
Cartesian
1.7744 -9.2650 -1.4794
0.1683 -5.7075 -2.0145
-0.0870 -1.1835 0.9102
-3.2261 -5.6482 -0.7066
2.4770 -6.2655 0.7435
-2.1760 -8.8374 -2.4850
2.6256 -6.7457 -1.9022
-2.2012 -6.2232 -3.1300
0.3831 -9.5220 -4.4805
-0.4589 -4.4656 0.9822

---

TaTiB2 PBE optimized geometry; VASP energy = -9.1217 eV per atom; SG = Pm; energy of formation = -0.846 eV per atom; volume = 11.00 Å³/atom; DOS(E_F) = 0.47 states/eV per atom; E above lowest polymorph = 0.00 eV per formula unit; total moment = 0.00 μB per formula unit
1.0
3.2840 0.0000 -0.0229
0.0000 3.0974 0.0000
-1.6147 0.0000 4.3352
B Ta Ti
2 1 1
Cartesian
-0.8632 1.5487 3.5621
-0.8687 0.0000 2.5599
0.7654 1.5487 1.7757
0.7872 0.0000 4.2882